Entry 1:
Entry from the Alexandria database: a relaxed structure of Tl6CdIn8 (GGA-PBE).

Cell: 9.3777 9.3777 17.2700 Å, 90.00 90.00 120.00°
Space group R-3 (No. 148, hexagonal axes)
One atom of each set of equivalent atoms:
Tl  0.0248  0.7961  0.4104
Cd  0.0000  0.0000  0.0000
In  0.0000  0.0000  0.2334
In  0.0474  0.6159  0.5726

**E_form**: 49 meV per atom

***

Entry 2:
Entry from the Alexandria database: a relaxed structure of LaBePt2Au (GGA-PBE).

Cell: 4.537 4.537 4.549 Å, 90.00 90.00 90.00°
Space group P4/mmm (No. 123)
One atom of each set of equivalent atoms:
La  0.000  0.000  0.000
Be  0.500  0.500  0.500
Pt  0.000  0.500  0.500
Au  0.500  0.500  0.000

**E_form**: -699 meV per atom

***

Entry 3:
Entry from the Alexandria database: a relaxed structure of Sb2HN (GGA-PBE).

Cell: 5.129 5.129 10.567 Å, 90.00 90.00 90.00°
Space group I-42d (No. 122)
One atom of each set of equivalent atoms:
Sb  0.245  0.250  0.125
H  0.000  0.000  0.000
N  0.000  0.000  0.500

**Calculated total energy**: -17.18 eV per formula unit

***

Entry 4:
Entry from the Alexandria database: a relaxed structure of ZrTi2H (GGA-PBE).

Cell: 2.838 2.838 7.352 Å, 90.00 90.00 90.00°
Space group P4/mmm (No. 123)
One atom of each set of equivalent atoms:
Zr  0.000  0.000  0.000
Ti  0.500  0.500  0.327
H  0.000  0.000  0.500

**Calculated total energy**: -26.96 eV per formula unit

***

Entry 5:
Entry from the Alexandria database: a relaxed structure of Ba2CaW (GGA-PBE).

Cell: 11.326 3.486 8.868 Å, 90.00 108.72 90.00°
Space group Cm (No. 8)
One atom of each set of equivalent atoms:
Ba  0.000  0.000  0.000
Ba  0.162  0.000  0.633
Ca  0.336  0.000  0.318
W  0.103  0.500  0.316

**E_form**: 1008 meV per atom

***

Entry 6:
Entry from the Alexandria database: a relaxed structure of Sc3HIr (GGA-PBE).

Cell: 4.300 4.300 4.300 Å, 90.00 90.00 90.00°
Space group Pm-3m (No. 221)
One atom of each set of equivalent atoms:
Sc  0.000  0.000  0.500
H  0.000  0.000  0.000
Ir  0.500  0.500  0.500

**Calculated total energy**: -33.43 eV per formula unit

***

Which formula does entry 6 have? Sc3HIr

***

What is the formula in the second record? LaBePt2Au